No. 1
Here is Nd8SiPb2 after structural relaxation from Alexandria via LeMat-Bulk. Energies are from PBE.

**Magnetization**: 0.01 μB per cell
**E_form (uncorrected)**: -0.31 eV per atom

Unit cell a=19.8238 b=5.2556 c=6.9484 alpha=90.00 beta=105.60 gamma=90.00
Last column: nearest neighbours and their distance in Å.
Space group C2/m (No. 12)
Unique sites:
Nd 0.0126 0.0000 0.2770 x4  2 Si 3.09, 3 Nd 3.27-3.44, 1 Pb 3.31
Nd 0.0883 0.5000 0.9610 x4  1 Si 3.21, 2 Nd 3.44, 2 Pb 3.49
Nd 0.1503 0.5000 0.5003 x4  1 Si 2.98, 2 Pb 3.26
Nd 0.2175 0.0000 0.8221 x4  3 Pb 3.30-3.49, 4 Nd 3.48-3.60
Si 0.0000 0.5000 0.5000 x2  8 Nd 2.98-3.21
Pb 0.1769 0.0000 0.2527 x4  9 Nd 3.26-3.49

=====

No. 2
Here is Nd5SiPb2 after structural relaxation from Alexandria via LeMat-Bulk. Energies are from PBE.

**Magnetization**: 0.00 μB per cell
**E_form (uncorrected)**: -0.55 eV per atom

Unit cell a=8.4383 b=12.7370 c=4.6842 alpha=90.00 beta=90.00 gamma=90.00
Last column: nearest neighbours and their distance in Å.
Space group Pbam (No. 55)
Unique sites:
Nd 0.0000 0.0000 0.0000 x2  4 Pb 3.28, 4 Nd 3.59
Nd 0.1449 0.2917 0.0000 x4  1 Si 2.92
Nd 0.1927 0.5659 0.5000 x4  2 Si 2.97
Si 0.0000 0.5000 0.0000 x2  6 Nd 2.92-2.97
Pb 0.0791 0.8270 0.5000 x4  9 Nd 3.28-3.60

=====

No. 3
Here is Nd6Si2Te3Pb after structural relaxation from Alexandria via LeMat-Bulk. Energies are from PBE.

**Magnetization**: 0.00 μB per cell
**E_form (uncorrected)**: -1.08 eV per atom

Unit cell a=19.4864 b=4.4118 c=9.0004 alpha=90.00 beta=104.05 gamma=90.00
Last column: nearest neighbours and their distance in Å.
Space group C2/m (No. 12)
Unique sites:
Nd 0.0090 0.0000 0.2543 x4  1 Si 3.01, 2 Pb 3.15, 3 Te 3.16-3.27
Nd 0.1684 0.5000 0.1059 x4  2 Si 3.02, 3 Te 3.18-3.29, 1 Pb 3.19
Nd 0.1734 0.5000 0.5683 x4  3 Si 3.00-3.03, 3 Te 3.28
Si 0.1681 0.0000 0.3356 x4  6 Nd 3.00-3.03
Te 0.0000 0.5000 0.5000 x2  6 Nd 3.16-3.28
Te 0.1640 0.0000 0.8322 x4  6 Nd 3.18-3.29
Pb 0.0000 0.5000 0.0000 x2  6 Nd 3.15-3.19

=====

No. 4
Here is Nd4SiTe2Pb after structural relaxation from Alexandria via LeMat-Bulk. Energies are from PBE.

**Magnetization**: 0.00 μB per cell
**E_form (uncorrected)**: -1.06 eV per atom

Unit cell a=7.7687 b=4.4389 c=7.8063 alpha=90.00 beta=109.02 gamma=90.00
Last column: nearest neighbours and their distance in Å.
Space group P2/m (No. 10)
Unique sites:
Nd 0.2315 0.0000 0.2279 x2  2 Si 3.04, 1 Pb 3.15, 3 Te 3.20-3.30
Nd 0.2421 0.5000 0.7625 x2  1 Si 3.04, 2 Pb 3.16, 3 Te 3.19-3.30
Si 0.0000 0.5000 0.0000 x1  6 Nd 3.04
Te 0.0000 0.0000 0.5000 x1  6 Nd 3.19-3.20
Te 0.5000 0.5000 0.5000 x1  6 Nd 3.30
Pb 0.5000 0.0000 0.0000 x1  6 Nd 3.15-3.16

=====

No. 5
Here is Nd2SmPb after structural relaxation from Alexandria via LeMat-Bulk. Energies are from PBE.

**Polymorph energy (0 for the lowest one)**: 182 meV per atom
**Magnetization**: 0.00 μB per cell
**ΔE_f**: -151 meV per atom

Unit cell a=3.6830 b=3.6830 c=34.0423 alpha=90.00 beta=90.00 gamma=120.00
Last column: nearest neighbours and their distance in Å.
Space group R3m (No. 160, hexagonal axes)
Unique sites:
Nd 0.0000 0.0000 0.0000 x3  3 Pb 3.46, 3 Sm 3.64, 6 Nd 3.68
Nd 0.0000 0.0000 0.1737 x3  3 Pb 3.44, 3 Sm 3.64, 6 Nd 3.68
Sm 0.0000 0.0000 0.4202 x3  6 Nd 3.64, 6 Sm 3.68
Pb 0.0000 0.0000 0.5864 x3  6 Nd 3.44-3.46, 6 Pb 3.68

=====

No. 6
Here is NdSmPb2 after structural relaxation from Alexandria via LeMat-Bulk. Energies are from PBE.

**Magnetization**: 0.01 μB per cell
**ΔE_f**: -501 meV per atom

Unit cell a=5.0943 b=5.0943 c=4.5825 alpha=90.00 beta=90.00 gamma=90.00
Last column: nearest neighbours and their distance in Å.
Space group P4/mmm (No. 123)
Unique sites:
Nd 0.0000 0.0000 0.0000 x1  8 Pb 3.43, 4 Sm 3.60
Sm 0.5000 0.5000 0.0000 x1  8 Pb 3.43, 4 Nd 3.60
Pb 0.0000 0.5000 0.5000 x2  4 Nd 3.43, 4 Sm 3.43, 4 Pb 3.60

=====

No. 7
Here is Nd4SmPb2 after structural relaxation from Alexandria via LeMat-Bulk. Energies are from PBE.

**Magnetization**: 0.00 μB per cell
**ΔE_f**: 316 meV per atom

Unit cell a=5.5824 b=5.5824 c=16.7185 alpha=90.00 beta=90.00 gamma=90.00
Last column: nearest neighbours and their distance in Å.
Space group I4/mmm (No. 139)
Unique sites:
Nd 0.0000 0.0000 0.1825 x4  1 Sm 3.05, 1 Pb 3.13
Nd 0.0000 0.5000 0.0000 x4  2 Sm 2.79
Sm 0.0000 0.0000 0.0000 x2  6 Nd 2.79-3.05
Pb 0.0000 0.0000 0.3695 x4  1 Nd 3.13

=====

No. 8
Here is NdSm4Pb2 after structural relaxation from Alexandria via LeMat-Bulk. Energies are from PBE.

**Magnetization**: 0.01 μB per cell
**ΔE_f**: 357 meV per atom

Unit cell a=5.5137 b=5.5137 c=16.5490 alpha=90.00 beta=90.00 gamma=90.00
Last column: nearest neighbours and their distance in Å.
Space group I4/mmm (No. 139)
Unique sites:
Nd 0.0000 0.0000 0.0000 x2  6 Sm 2.76-3.00
Sm 0.0000 0.0000 0.1815 x4  1 Nd 3.00, 1 Pb 3.11
Sm 0.0000 0.5000 0.0000 x4  2 Nd 2.76
Pb 0.0000 0.0000 0.3692 x4  1 Sm 3.11

=====

No. 9
Here is Nd2Sm3Pb4 after structural relaxation from Alexandria via LeMat-Bulk. Energies are from PBE.

**Polymorph energy (0 for the lowest one)**: 0 meV per atom
**Magnetization**: 0.00 μB per cell
**ΔE_f**: -590 meV per atom

Unit cell a=8.6250 b=8.5858 c=8.2994 alpha=90.00 beta=111.63 gamma=90.00
Last column: nearest neighbours and their distance in Å.
Space group P2_1/c (No. 14)
Unique sites:
Nd 0.1950 0.1802 0.0584 x4  5 Pb 3.23-3.56
Sm 0.2431 0.6620 0.2353 x4  6 Pb 3.14-3.32
Sm 0.5000 0.0000 0.5000 x2  6 Pb 3.27-3.34
Pb 0.0851 0.5376 0.8276 x4  4 Sm 3.14-3.34, 2 Nd 3.31-3.45
Pb 0.4881 0.1398 0.8616 x4  5 Sm 3.21-3.30, 2 Nd 3.23-3.50, 1 Pb 3.28

=====

No. 10
Here is Nd3Sm5Pb2 after structural relaxation from Alexandria via LeMat-Bulk. Energies are from PBE.

**Magnetization**: 0.00 μB per cell
**ΔE_f**: -5 meV per atom

Unit cell a=13.0596 b=15.8815 c=6.5894 alpha=90.00 beta=90.00 gamma=90.00
Last column: nearest neighbours and their distance in Å.
Space group Ibam (No. 72)
Unique sites:
Nd 0.0000 0.0000 0.2500 x4  2 Nd 3.29, 2 Sm 3.31, 4 Pb 3.40
Nd 0.1288 0.2226 0.0000 x8  4 Sm 3.44-3.79, 4 Pb 3.50-3.68
Sm 0.0000 0.5000 0.2500 x4  8 Sm 3.22-3.30
Sm 0.0949 0.3375 0.5000 x8  1 Pb 3.05, 2 Sm 3.30
Sm 0.2467 0.5000 0.2500 x8  3 Sm 3.22-3.29, 2 Pb 3.25, 1 Nd 3.31
Pb 0.1383 0.1488 0.5000 x8  3 Sm 3.05-3.25, 2 Nd 3.40

=====

No. 11
Here is Nd2SmPb3 after structural relaxation from Alexandria via LeMat-Bulk. Energies are from PBE.

**Polymorph energy (0 for the lowest one)**: 0 meV per atom
**Magnetization**: 0.02 μB per cell
**ΔE_f**: -513 meV per atom

Unit cell a=5.0500 b=15.4318 c=9.2077 alpha=90.00 beta=90.00 gamma=90.00
Last column: nearest neighbours and their distance in Å.
Space group Cmmm (No. 65)
Unique sites:
Nd 0.0000 0.0000 0.0000 x2  8 Pb 3.43-3.47, 4 Nd 3.60
Nd 0.0000 0.0000 0.5000 x2  8 Pb 3.41-3.45, 4 Sm 3.61
Nd 0.0000 0.3334 0.0000 x4  8 Pb 3.43-3.46, 4 Nd 3.60
Sm 0.0000 0.3329 0.5000 x4  8 Pb 3.41-3.45, 2 Sm 3.59, 2 Nd 3.61
Pb 0.0000 0.1672 0.2518 x8  3 Sm 3.41-3.43, 5 Nd 3.43-3.47, 4 Pb 3.59-3.61
Pb 0.0000 0.5000 0.2515 x4  6 Nd 3.41-3.46, 2 Sm 3.45, 4 Pb 3.61

=====

Number 1: uncorrected energy -4.9420 eV/atom, volume 697.3 Å³ per cell. Number 2: uncorrected energy -5.1341 eV/atom, volume 503.5 Å³ per cell. Number 3: uncorrected energy -5.4602 eV/atom, volume 750.6 Å³ per cell. Number 4: uncorrected energy -5.3677 eV/atom, volume 254.5 Å³ per cell. Number 5: uncorrected energy -4.6416 eV/atom, volume 399.9 Å³ per cell. Number 6: uncorrected energy -4.7273 eV/atom, volume 118.9 Å³ per cell. Number 7: uncorrected energy -4.1418 eV/atom, volume 521.0 Å³ per cell. Number 8: uncorrected energy -4.0808 eV/atom, volume 503.1 Å³ per cell. Number 9: uncorrected energy -4.8702 eV/atom, volume 571.3 Å³ per cell. Number 10: uncorrected energy -4.5363 eV/atom, volume 1366.7 Å³ per cell. Number 11: uncorrected energy -4.7430 eV/atom, volume 717.6 Å³ per cell.